# 1
8
Lattice="3.2219 0.0000 0.0000 0.0000 4.4820 0.0000 0.0000 0.0000 13.7481" Properties=species:S:1:pos:R:3 comment="TlIn2Cu GGA-PBE relaxed" crystal_system=orthorhombic ef_ev_per_atom=0.11 dos_at_fermi_per_ev_fu=1.50 pbc="T T T"
Tl 0.0000 0.0000 0.0000
Tl 1.6110 2.2410 6.8740
In 0.0000 0.0000 4.9607
In 0.0000 2.2410 2.5405
In 1.6110 0.0000 9.4145
In 1.6110 2.2410 11.8347
Cu 0.0000 2.2410 9.4980
Cu 1.6110 0.0000 2.6240

---

# 2
4
Lattice="3.1225 0.0000 0.0000 0.0000 3.7518 0.0000 0.0000 0.0000 5.9241" Properties=species:S:1:pos:R:3 comment="In2CuIr GGA-PBE relaxed" crystal_system=orthorhombic ef_ev_per_atom=0.04 dos_at_fermi_per_ev_fu=1.96 pbc="T T T"
In 0.0000 0.0000 1.4814
In 0.0000 0.0000 4.4427
Cu 1.5612 1.8759 0.0000
Ir 1.5612 1.8759 2.9620

---

# 3
16
Lattice="7.7863 0.0000 0.0000 0.0000 7.7863 0.0000 0.0000 0.0000 5.5264" Properties=species:S:1:pos:R:3 comment="TiAg2Sb GGA-PBE relaxed" crystal_system=tetragonal raw_formation_energy_ev_per_atom=0.215 dos_at_fermi_per_ev_fu=4.65 pbc="T T T"
Ti 0.0000 0.0000 0.0000
Ti 0.0000 3.8932 1.3816
Ti 3.8932 0.0000 4.1448
Ti 3.8932 3.8932 2.7632
Ag 1.9502 1.9466 0.6908
Ag 1.9430 1.9466 3.4540
Ag 1.9466 5.8434 2.0724
Ag 1.9466 5.8361 4.8356
Ag 5.8397 1.9430 2.0724
Ag 5.8397 1.9502 4.8356
Ag 5.8361 5.8397 0.6908
Ag 5.8434 5.8397 3.4540
Sb 0.0000 0.0000 2.7632
Sb 0.0000 3.8932 4.1448
Sb 3.8932 0.0000 1.3816
Sb 3.8932 3.8932 0.0000

---

# 4
5
Lattice="5.3582 0.0000 0.0000 0.0000 5.3582 0.0000 0.0000 0.0000 5.3582" Properties=species:S:1:pos:R:3 comment="TeRuI3 GGA-PBE relaxed" crystal_system=cubic raw_formation_energy_ev_per_atom=0.465 dos_at_fermi_per_ev_fu=6.09 pbc="T T T"
Te 0.0000 0.0000 0.0000
Ru 2.6791 2.6791 2.6791
I 0.0000 2.6791 2.6791
I 2.6791 0.0000 2.6791
I 2.6791 2.6791 0.0000

---

# 5
3
Lattice="4.7949 0.0000 0.0000 -2.3974 4.1525 0.0000 0.0000 0.0000 3.7808" Properties=species:S:1:pos:R:3 comment="SrLiGe GGA-PBE relaxed" crystal_system=hexagonal ef_ev_per_atom=-0.44 dos_at_fermi_per_ev_fu=0.59 pbc="T T T"
Sr 0.0000 0.0000 0.0000
Li 0.0000 2.7683 1.8904
Ge 2.3974 1.3842 1.8904

---

# 6
18
Lattice="5.0773 2.9314 6.7019 -5.0773 2.9314 6.7019 0.0000 -5.8627 6.7019" Properties=species:S:1:pos:R:3 comment="Ba2LiIn12Ir3 GGA-PBE relaxed" crystal_system=trigonal ef_ev_per_atom=-0.03 dos_at_fermi_per_ev_fu=11.36 pbc="T T T"
Ba 0.0000 0.0000 2.2104
Ba 0.0000 0.0000 17.8954
Li 0.0000 0.0000 10.0529
In -2.4293 -1.4026 9.3451
In 0.0000 -2.0200 6.8032
In -1.7493 1.0100 6.8032
In 0.0000 -2.8051 10.7607
In -2.4293 1.4026 10.7607
In -1.7493 -1.0100 13.3025
In 1.7493 1.0100 6.8032
In 2.4293 -1.4026 9.3451
In 0.0000 2.8051 9.3451
In 1.7493 -1.0100 13.3025
In 0.0000 2.0200 13.3025
In 2.4293 1.4026 10.7607
Ir -2.5386 -1.4657 6.7019
Ir -2.5386 1.4657 13.4038
Ir 0.0000 2.9314 6.7019

---

# 7
5
Lattice="5.0287 0.0000 0.0000 0.0000 5.0287 0.0000 0.0000 0.0000 4.7291" Properties=species:S:1:pos:R:3 comment="ZnSn2RhAu GGA-PBE relaxed" crystal_system=tetragonal ef_ev_per_atom=0.74 dos_at_fermi_per_ev_fu=3.15 pbc="T T T"
Zn 0.0000 0.0000 0.0000
Sn 0.0000 2.5143 0.0000
Sn 2.5143 0.0000 0.0000
Rh 2.5143 2.5143 2.3645
Au 0.0000 0.0000 2.3645

---

# 8
10
Lattice="0.0000 5.6932 5.6932 5.6932 0.0000 5.6932 5.6932 5.6932 0.0000" Properties=species:S:1:pos:R:3 comment="Cs2PrMgBr6 GGA-PBE relaxed" crystal_system=cubic raw_formation_energy_ev_per_atom=-1.597 dos_at_fermi_per_ev_fu=5.90 pbc="T T T"
Cs 2.8466 2.8466 2.8466
Cs 8.5398 8.5398 8.5398
Pr 0.0000 0.0000 0.0000
Mg 5.6932 5.6932 5.6932
Br 5.6932 5.6932 2.9858
Br 5.6932 2.9858 5.6932
Br 8.4005 5.6932 5.6932
Br 2.9858 5.6932 5.6932
Br 5.6932 8.4005 5.6932
Br 5.6932 5.6932 8.4005